Record 1
PBE As2S2O9, relaxed; SG = No. 14; calculated density = 2.9 g/cm3; V = 15.82 Å³ per atom; E = -5.981 eV per atom; ΔE_f (raw) = -1198 meV per atom
1.0
6.844 0.000 0.000
0.000 6.813 0.000
-2.225 0.000 17.644
As S O
8 8 36
direct
0.182 0.113 0.203
0.182 0.387 0.703
0.296 0.241 0.542
0.296 0.259 0.042
0.704 0.741 0.958
0.704 0.759 0.458
0.818 0.613 0.297
0.818 0.887 0.797
0.150 0.718 0.434
0.150 0.782 0.934
0.284 0.560 0.178
0.284 0.940 0.678
0.716 0.060 0.322
0.716 0.440 0.822
0.850 0.218 0.066
0.850 0.282 0.566
0.023 0.221 0.016
0.023 0.279 0.516
0.068 0.611 0.360
0.068 0.889 0.860
0.166 0.733 0.185
0.166 0.767 0.685
0.181 0.108 0.717
0.181 0.392 0.217
0.211 0.585 0.919
0.211 0.915 0.419
0.263 0.506 0.092
0.263 0.994 0.592
0.301 0.592 0.473
0.301 0.908 0.973
0.332 0.116 0.127
0.332 0.384 0.627
0.491 0.569 0.207
0.491 0.931 0.707
0.509 0.069 0.293
0.509 0.431 0.793
0.668 0.616 0.373
0.668 0.884 0.873
0.699 0.092 0.027
0.699 0.408 0.527
0.737 0.006 0.408
0.737 0.494 0.908
0.789 0.085 0.581
0.789 0.415 0.081
0.819 0.608 0.783
0.819 0.892 0.283
0.834 0.233 0.315
0.834 0.267 0.815
0.932 0.111 0.140
0.932 0.389 0.640
0.977 0.721 0.484
0.977 0.779 0.984

***

Record 2
PBE LiPr2Te3, relaxed; SG = No. 71; relative energy among the computed polymorphs = 0.0 meV per atom; calculated density = 5.9 g/cm3; V = 31.59 Å³ per atom; E = -4.837 eV per atom; ΔE_f (raw) = -1354 meV per atom
1.0
-2.222 3.189 6.689
2.222 -3.189 6.689
2.222 3.189 -6.689
Li Pr Te
1 2 3
direct
0.000 0.000 0.000
0.331 0.331 0.000
0.669 0.669 0.000
0.155 0.655 0.500
0.500 0.000 0.500
0.845 0.345 0.500

***

Record 3
PBE YTaCd2, relaxed; SG = No. 25; relative energy among the computed polymorphs = 116.5 meV per atom; energy of formation from the pure elements = 233 meV/atom; calculated density = 9.1 g/cm3; V = 22.50 Å³ per atom; E = -4.803 eV per atom
1.0
3.210 0.000 0.000
0.000 4.284 0.000
0.000 0.000 6.544
Y Ta Cd
1 1 2
direct
0.000 0.000 0.000
0.500 0.500 0.745
0.000 0.000 0.517
0.500 0.500 0.272

***

Record 4
PBE MnCu2Sb, relaxed; SG = No. 119; calculated density = 8.3 g/cm3; V = 15.20 Å³ per atom; E = -5.212 eV per atom; ΔE_f (raw) = 159 meV per atom
1.0
-1.968 1.968 3.926
1.968 -1.968 3.926
1.968 1.968 -3.926
Mn Cu Sb
1 2 1
direct
0.000 0.000 0.000
0.250 0.750 0.500
0.500 0.500 0.000
0.750 0.250 0.500

***

Record 5
PBE Sr2PrHg, relaxed; SG = No. 160; relative energy among the computed polymorphs = 66.7 meV per atom; energy of formation from the pure elements = -100 meV/atom; calculated density = 5.4 g/cm3; V = 39.86 Å³ per atom; E = -2.211 eV per atom
1.0
2.024 1.168 11.239
-2.024 1.168 11.239
0.000 -2.337 11.239
Sr Pr Hg
2 1 1
direct
0.000 0.000 0.000
0.190 0.190 0.190
0.761 0.761 0.761
0.595 0.595 0.595

***

Record 6
PBE BPtBr2, relaxed; SG = No. 122; relative energy among the computed polymorphs = 67.2 meV per atom; calculated density = 6.9 g/cm3; V = 22.04 Å³ per atom; E = -2.901 eV per atom; ΔE_f (raw) = 1115 meV per atom
1.0
-2.748 2.748 5.838
2.748 -2.748 5.838
2.748 2.748 -5.838
B Pt Br
2 2 4
direct
0.000 0.000 0.000
0.750 0.250 0.500
0.250 0.750 0.500
0.500 0.500 0.000
0.075 0.625 0.950
0.375 0.325 0.450
0.675 0.125 0.050
0.875 0.925 0.550